(1)
Entry from the Alexandria database: a relaxed TaMnSe2 crystal (PBE).

theoretical density = 8.6 g/cm3
raw formation energy = -0.1137 eV per atom
energy relative to the lowest polymorph listed for this composition = 0.321 eV/atom

Unit cell a=8.3284 b=3.3805 c=5.4430 alpha=90.00 beta=95.92 gamma=90.00
Last column: nearest neighbours and their distance in Å.
Space group C2/m (No. 12)
Asymmetric unit:
1 Ta 0.0000 0.0000 0.0000  6 Se 2.62-2.83
2 Mn 0.0000 0.5000 0.5000  2 Se 2.41
3 Se 0.2074 0.5000 0.2233  1 Mn 2.41, 2 Ta 2.62

***

(2)
Entry from the Alexandria database: a relaxed TaMnSe2 crystal (PBE).

theoretical density = 7.0 g/cm3
raw formation energy = -0.4344 eV per atom
energy relative to the lowest polymorph listed for this composition = 0.000 eV/atom

Unit cell a=3.7122 b=3.7282 c=6.7558 alpha=90.00 beta=90.00 gamma=90.00
Last column: nearest neighbours and their distance in Å.
Space group Pmm2 (No. 25)
Asymmetric unit:
1 Ta 0.0000 0.0000 0.0000  4 Se 2.56, 4 Mn 2.63
2 Mn 0.5000 0.5000 0.9992  4 Se 2.56, 4 Ta 2.63
3 Se 0.0000 0.5000 0.2604  2 Mn 2.56, 2 Ta 2.56
4 Se 0.5000 0.0000 0.7385  2 Ta 2.56, 2 Mn 2.56